[1]
A geometry-optimized FeTc2Au structure, computed with PBE.

Computed properties:
energy above the lowest structure with this stoichiometry	77	meV/atom
VASP energy	-7.8464	eV per atom
DFT formation energy	105	kJ/mol of formula units
space group	C2/m (12)

Geometry as extended XYZ:
```
4
Lattice="-3.9658 -2.5912 0.7657 -2.5338 -3.8900 -1.2148 1.5647 -3.1051 3.1677" Properties=species:S:1:pos:R:3 pbc="T T T"
Au -3.7011 -7.1897 2.0390
Fe -1.2337 -2.3966 0.6797
Tc -2.5583 -4.7843 1.2878
Tc -6.4087 -6.4900 -0.3776
```

---

[2]
A geometry-optimized LaZn3In structure, computed with PBE.

Computed properties:
energy above the lowest structure with this stoichiometry	0	meV/atom
VASP energy	-2.6714	eV per atom
DFT formation energy	-180	kJ/mol of formula units
space group	C2/m (12)

Geometry as extended XYZ:
```
20
Lattice="-1.8895 -3.5659 -4.7404 -0.7637 -4.7727 3.8946 -10.5016 3.1529 1.8141" Properties=species:S:1:pos:R:3 pbc="T T T"
La -3.1999 -2.8060 3.3858
La -3.7595 -2.1735 -0.9549
La -9.3952 -3.0122 1.9232
La -9.9549 -2.3796 -2.4176
Zn -6.1032 -1.6983 1.6745
Zn -12.2985 -1.9037 0.2104
Zn -7.0516 -3.4874 -0.7063
Zn -4.0001 -0.1740 1.7242
Zn -7.8588 -1.0851 -0.1383
Zn -1.6637 -0.8795 1.3237
Zn -5.2960 -4.1005 1.1065
Zn -10.1951 -0.3796 0.2624
Zn -11.4911 -4.3062 -0.3555
Zn -2.9596 -4.8061 0.7059
Zn -9.1546 -5.0116 -0.7560
Zn -0.8563 -3.2820 0.7578
In -1.2363 -5.6643 2.7085
In -6.4865 -4.0868 3.6169
In -11.9185 0.4786 -1.7403
In -6.6682 -1.0988 -2.6487
```

---

[3]
A geometry-optimized NaSmTmHg structure, computed with PBE.

Computed properties:
VASP energy	-2.7434	eV per atom
DFT formation energy	-16	kJ/mol of formula units
space group	F-43m (216)

Geometry as extended XYZ:
```
4
Lattice="-0.8045 -5.2791 -0.5220 4.1861 -3.3091 -0.5610 1.3441 -3.3260 3.9899" Properties=species:S:1:pos:R:3 pbc="T T T"
Na 3.5443 -8.9356 2.1801
Sm 0.0000 0.0000 0.0000
Tm 2.3629 -5.9571 1.4534
Hg 1.1814 -2.9785 0.7267
```

---

[4]
A geometry-optimized K2InGaSe4 structure, computed with PBE.

Computed properties:
VASP energy	-3.4642	eV per atom
uncorrected formation energy	-0.7269	eV per atom
space group	Imma (74)

Geometry as extended XYZ:
```
16
Lattice="8.4353 0.0024 -0.1881 -0.0035 8.4353 -0.1881 -4.2451 -4.2481 6.1581" Properties=species:S:1:pos:R:3 pbc="T T T"
Se 2.3581 2.1492 5.6274
Se 0.0567 3.9162 2.7427
Se -2.4257 2.1519 5.8217
Se 0.0541 0.2648 2.7365
Se 1.8286 2.0405 0.1545
Se 6.6126 2.0378 -0.0398
Se 4.1326 3.9249 3.0454
Se 4.1300 0.2734 3.0392
In -0.0017 4.2177 -0.0940
In 6.3110 2.0961 2.7969
K 4.2159 4.2189 -0.1881
K 4.2177 0.0012 -0.0940
K -2.1226 -2.1240 3.0790
K 2.0951 -2.1228 2.9850
Ga 4.1902 -4.2456 5.9700
Ga 2.0933 2.0948 2.8910
```

---

[5]
A geometry-optimized Mn2CoAs structure, computed with PBE.

Computed properties:
VASP energy	-7.4882	eV per atom
DFT formation energy	14	kJ/mol of formula units
space group	P4mm (99)

Geometry as extended XYZ:
```
4
Lattice="2.9514 0.0000 0.0000 0.0000 2.9514 0.0000 0.0000 0.0000 5.6287" Properties=species:S:1:pos:R:3 pbc="T T T"
As 0.0000 0.0000 2.8022
Mn 0.0000 0.0000 0.0007
Mn 1.4757 1.4757 1.4232
Co 1.4757 1.4757 4.2170
```

---

[6]
A geometry-optimized Nb2CdMo structure, computed with PBE.

Computed properties:
VASP energy	-7.2706	eV per atom
DFT formation energy	270	kJ/mol of formula units
space group	I-42d (122)

Geometry as extended XYZ:
```
8
Lattice="-1.9652 -4.8806 5.2857 4.4132 -5.1452 -3.1100 3.3800 -4.1370 2.6982" Properties=species:S:1:pos:R:3 pbc="T T T"
Nb 4.5365 -11.7115 4.0264
Nb 3.2950 -5.0154 -0.4402
Nb 3.5935 -7.0262 2.7406
Nb 0.2310 -4.5724 3.4211
Mo 4.5086 -7.1475 0.3380
Mo 1.2240 -5.0129 1.0879
Cd 1.3194 -7.0152 4.5359
Cd 0.0000 0.0000 0.0000
```

---

[7]
A geometry-optimized HfNi2H structure, computed with PBE.

Computed properties:
energy above the lowest structure with this stoichiometry	513	meV/atom
VASP energy	-5.8977	eV per atom
space group	Fm-3m (225)

Geometry as extended XYZ:
```
4
Lattice="-0.6451 1.1631 3.9204 -0.5998 3.9957 0.9016 -3.7436 1.3166 1.1791" Properties=species:S:1:pos:R:3 pbc="T T T"
Ni -1.2471 1.6189 1.5003
Ni -3.7414 4.8566 4.5009
Hf -2.4943 3.2377 3.0006
H 0.0000 0.0000 0.0000
```

---

[8]
A geometry-optimized Ba2PrTl structure, computed with PBE.

Computed properties:
energy above the lowest structure with this stoichiometry	0	meV/atom
VASP energy	-2.7997	eV per atom
DFT formation energy	-20	kJ/mol of formula units
space group	P4/mmm (123)

Geometry as extended XYZ:
```
4
Lattice="-1.6183 -3.5854 -1.1593 1.2780 -1.7091 3.5019 -8.8883 2.5590 4.4927" Properties=species:S:1:pos:R:3 pbc="T T T"
Ba -1.9236 0.5538 0.9723
Ba -6.9646 2.0052 3.5204
Tl -0.1701 -2.6473 1.1713
Pr -4.6143 -1.3678 3.4177
```